No. 1
# PBE CePr2TmP4, relaxed
# Formation energy from the elements: -1530 meV/atom
data_CePr2TmP4
_symmetry_space_group_name_H-M 'P 1 2/m 1'
_symmetry_Int_Tables_number 10
_symmetry_space_group_name_Hall '-P 2y'
_cell_length_a 7.097
_cell_length_b 4.110
_cell_length_c 7.125
_cell_angle_alpha 90.00
_cell_angle_beta 109.38
_cell_angle_gamma 90.00
loop_
_atom_site_label
_atom_site_type_symbol
_atom_site_fract_x
_atom_site_fract_y
_atom_site_fract_z
Ce1 Ce 0.000 0.000 0.000
Pr1 Pr 0.000 0.500 0.500
Pr2 Pr 0.500 0.000 0.500
Tm1 Tm 0.500 0.500 0.000
P1 P 0.248 0.500 0.237
P2 P 0.256 0.000 0.765

No. 2
# PBE SrPmHo2Se4, relaxed
# Formation energy from raw total energies: -1.814 eV/atom
data_SrPmHo2Se4
_symmetry_space_group_name_H-M 'P 1 2/m 1'
_symmetry_Int_Tables_number 10
_symmetry_space_group_name_Hall '-P 2y'
_cell_length_a 7.238
_cell_length_b 4.143
_cell_length_c 7.252
_cell_angle_alpha 90.00
_cell_angle_beta 109.00
_cell_angle_gamma 90.00
loop_
_atom_site_label
_atom_site_type_symbol
_atom_site_fract_x
_atom_site_fract_y
_atom_site_fract_z
Sr1 Sr 0.000 0.000 0.000
Pm1 Pm 0.500 0.500 0.000
Ho1 Ho 0.000 0.500 0.500
Ho2 Ho 0.500 0.000 0.500
Se1 Se 0.247 0.000 0.735
Se2 Se 0.259 0.500 0.268

No. 3
# PBE BaMn2Cl, relaxed
# E above lowest polymorph: 52 meV per atom
# Formation energy from raw total energies: 0.061 eV/atom
data_BaMn2Cl
_symmetry_space_group_name_H-M 'C 1 m 1'
_symmetry_Int_Tables_number 8
_symmetry_space_group_name_Hall 'C -2y'
_cell_length_a 8.494
_cell_length_b 4.396
_cell_length_c 6.745
_cell_angle_alpha 90.00
_cell_angle_beta 90.95
_cell_angle_gamma 90.00
loop_
_atom_site_label
_atom_site_type_symbol
_atom_site_fract_x
_atom_site_fract_y
_atom_site_fract_z
Ba1 Ba 0.000 0.000 0.000
Mn1 Mn 0.157 0.500 0.667
Mn2 Mn 0.343 0.000 0.632
Cl1 Cl 0.321 0.000 0.266

No. 4
# PBE TbAlZnCu, relaxed
# Formation energy from the elements: -351 meV/atom
data_TbAlZnCu
_symmetry_space_group_name_H-M 'F -4 3 m'
_symmetry_Int_Tables_number 216
_symmetry_space_group_name_Hall 'F -4 2 3'
_cell_length_a 6.558
_cell_length_b 6.558
_cell_length_c 6.558
_cell_angle_alpha 90.00
_cell_angle_beta 90.00
_cell_angle_gamma 90.00
loop_
_atom_site_label
_atom_site_type_symbol
_atom_site_fract_x
_atom_site_fract_y
_atom_site_fract_z
Tb1 Tb 0.000 0.000 0.000
Al1 Al 0.000 0.000 0.500
Zn1 Zn 0.250 0.250 0.250
Cu1 Cu 0.250 0.250 0.750

No. 5
# PBE PmZrZn4, relaxed
# E above lowest polymorph: 77 meV per atom
# Formation energy from the elements: -247 meV/atom
data_PmZrZn4
_symmetry_space_group_name_H-M 'F -4 3 m'
_symmetry_Int_Tables_number 216
_symmetry_space_group_name_Hall 'F -4 2 3'
_cell_length_a 7.632
_cell_length_b 7.632
_cell_length_c 7.632
_cell_angle_alpha 90.00
_cell_angle_beta 90.00
_cell_angle_gamma 90.00
loop_
_atom_site_label
_atom_site_type_symbol
_atom_site_fract_x
_atom_site_fract_y
_atom_site_fract_z
Pm1 Pm 0.000 0.000 0.000
Zr1 Zr 0.250 0.250 0.250
Zn1 Zn 0.124 0.124 0.624

No. 6
# PBE Tb4Pm3Th, relaxed
# E above lowest polymorph: 0 meV per atom
# Formation energy from the elements: 46 meV/atom
data_Tb4Pm3Th
_symmetry_space_group_name_H-M 'P m n 21'
_symmetry_Int_Tables_number 31
_symmetry_space_group_name_Hall 'P 2ac -2'
_cell_length_a 11.625
_cell_length_b 7.263
_cell_length_c 6.300
_cell_angle_alpha 90.00
_cell_angle_beta 90.00
_cell_angle_gamma 90.00
loop_
_atom_site_label
_atom_site_type_symbol
_atom_site_fract_x
_atom_site_fract_y
_atom_site_fract_z
Tb1 Tb 0.000 0.124 0.000
Tb2 Tb 0.000 0.871 0.502
Tb3 Tb 0.248 0.874 0.839
Pm1 Pm 0.000 0.378 0.500
Pm2 Pm 0.249 0.377 0.827
Th1 Th 0.000 0.625 0.003

No. 7
# PBE Rb2InGaBr6, relaxed
# Formation energy from raw total energies: -1.151 eV/atom
data_Rb2InGaBr6
_symmetry_space_group_name_H-M 'F m -3 m'
_symmetry_Int_Tables_number 225
_symmetry_space_group_name_Hall '-F 4 2 3'
_cell_length_a 11.339
_cell_length_b 11.339
_cell_length_c 11.339
_cell_angle_alpha 90.00
_cell_angle_beta 90.00
_cell_angle_gamma 90.00
loop_
_atom_site_label
_atom_site_type_symbol
_atom_site_fract_x
_atom_site_fract_y
_atom_site_fract_z
Rb1 Rb 0.250 0.250 0.250
In1 In 0.000 0.000 0.000
Ga1 Ga 0.000 0.000 0.500
Br1 Br 0.000 0.000 0.241

No. 8
# PBE PmErInGa, relaxed
# E above lowest polymorph: 23 meV per atom
# Formation energy from the elements: -495 meV/atom
data_PmErInGa
_symmetry_space_group_name_H-M 'F -4 3 m'
_symmetry_Int_Tables_number 216
_symmetry_space_group_name_Hall 'F -4 2 3'
_cell_length_a 7.413
_cell_length_b 7.413
_cell_length_c 7.413
_cell_angle_alpha 90.00
_cell_angle_beta 90.00
_cell_angle_gamma 90.00
loop_
_atom_site_label
_atom_site_type_symbol
_atom_site_fract_x
_atom_site_fract_y
_atom_site_fract_z
Pm1 Pm 0.000 0.000 0.000
Er1 Er 0.000 0.000 0.500
In1 In 0.250 0.250 0.750
Ga1 Ga 0.250 0.250 0.250

No. 9
# PBE InRh2Se4, relaxed
# E above lowest polymorph: 0 meV per atom
# Formation energy from raw total energies: -0.180 eV/atom
data_InRh2Se4
_symmetry_space_group_name_H-M 'I 41/a'
_symmetry_Int_Tables_number 88
_cell_length_a 6.706
_cell_length_b 6.706
_cell_length_c 13.359
_cell_angle_alpha 90.00
_cell_angle_beta 90.00
_cell_angle_gamma 90.00
loop_
_symmetry_equiv_pos_as_xyz
'x,y,z'
'-x,-y,-z'
'-y+3/4,x+1/4,z+1/4'
'y+3/4,-x+1/4,-z+1/4'
'-x+1/2,-y,z+1/2'
'x+1/2,y,-z+1/2'
'y+3/4,-x+3/4,z+3/4'
'-y+3/4,x+3/4,-z+3/4'
'x+1/2,y+1/2,z+1/2'
'-x+1/2,-y+1/2,-z+1/2'
'-y+1/4,x+3/4,z+3/4'
'y+1/4,-x+3/4,-z+3/4'
'-x,-y+1/2,z'
'x,y+1/2,-z'
'y+1/4,-x+1/4,z+1/4'
'-y+1/4,x+1/4,-z+1/4'
loop_
_atom_site_label
_atom_site_type_symbol
_atom_site_fract_x
_atom_site_fract_y
_atom_site_fract_z
In1 In 0.000 0.250 0.125
Rh1 Rh 0.000 0.000 0.500
Se1 Se 0.150 0.445 0.335

No. 10
# PBE HfTiCd2, relaxed
# E above lowest polymorph: 162 meV per atom
# Formation energy from the elements: 95 meV/atom
data_HfTiCd2
_symmetry_space_group_name_H-M 'F m -3 m'
_symmetry_Int_Tables_number 225
_symmetry_space_group_name_Hall '-F 4 2 3'
_cell_length_a 6.844
_cell_length_b 6.844
_cell_length_c 6.844
_cell_angle_alpha 90.00
_cell_angle_beta 90.00
_cell_angle_gamma 90.00
loop_
_atom_site_label
_atom_site_type_symbol
_atom_site_fract_x
_atom_site_fract_y
_atom_site_fract_z
Hf1 Hf 0.000 0.000 0.000
Ti1 Ti 0.000 0.000 0.500
Cd1 Cd 0.250 0.250 0.250

No. 11
# PBE Ta2VIn2Se6, relaxed
# Formation energy from raw total energies: -0.596 eV/atom
data_Ta2VIn2Se6
_symmetry_space_group_name_H-M 'C 1 2/m 1'
_symmetry_Int_Tables_number 12
_symmetry_space_group_name_Hall '-C 2y'
_cell_length_a 6.063
_cell_length_b 10.540
_cell_length_c 8.834
_cell_angle_alpha 90.00
_cell_angle_beta 101.73
_cell_angle_gamma 90.00
loop_
_atom_site_label
_atom_site_type_symbol
_atom_site_fract_x
_atom_site_fract_y
_atom_site_fract_z
Ta1 Ta 0.000 0.159 0.000
V1 V 0.000 0.500 0.000
In1 In 0.000 0.209 0.500
Se1 Se 0.108 0.336 0.816
Se2 Se 0.120 0.000 0.807

No. 12
# PBE ZrPbO4, relaxed
# E above lowest polymorph: 79 meV per atom
# Formation energy from raw total energies: -1.951 eV/atom
data_ZrPbO4
_symmetry_space_group_name_H-M 'P 4/m m m'
_symmetry_Int_Tables_number 123
_symmetry_space_group_name_Hall '-P 4 2'
_cell_length_a 3.725
_cell_length_b 3.725
_cell_length_c 5.291
_cell_angle_alpha 90.00
_cell_angle_beta 90.00
_cell_angle_gamma 90.00
loop_
_atom_site_label
_atom_site_type_symbol
_atom_site_fract_x
_atom_site_fract_y
_atom_site_fract_z
Zr1 Zr 0.000 0.000 0.000
Pb1 Pb 0.500 0.500 0.500
O1 O 0.000 0.500 0.241

No. 13
# PBE Ac4NdRe3N12, relaxed
# Formation energy from raw total energies: -0.532 eV/atom
data_Ac4NdRe3N12
_symmetry_space_group_name_H-M 'I m -3 m'
_symmetry_Int_Tables_number 229
_symmetry_space_group_name_Hall '-I 4 2 3'
_cell_length_a 8.325
_cell_length_b 8.325
_cell_length_c 8.325
_cell_angle_alpha 90.00
_cell_angle_beta 90.00
_cell_angle_gamma 90.00
loop_
_atom_site_label
_atom_site_type_symbol
_atom_site_fract_x
_atom_site_fract_y
_atom_site_fract_z
Ac1 Ac 0.250 0.250 0.250
Nd1 Nd 0.000 0.000 0.000
Re1 Re 0.000 0.000 0.500
N1 N 0.000 0.000 0.273
N2 N 0.000 0.250 0.500

No. 14
# PBE HPb, relaxed
# E above lowest polymorph: 32 meV per atom
data_HPb
_symmetry_space_group_name_H-M 'F d d d'
_symmetry_Int_Tables_number 70
_cell_length_a 7.694
_cell_length_b 7.731
_cell_length_c 10.121
_cell_angle_alpha 90.00
_cell_angle_beta 90.00
_cell_angle_gamma 90.00
loop_
_symmetry_equiv_pos_as_xyz
'x,y,z'
'-x,-y,-z'
'-x+1/4,-y+1/4,z'
'x+1/4,y+1/4,-z'
'x,-y+1/4,-z+1/4'
'-x,y+1/4,z+1/4'
'-x+1/4,y,-z+1/4'
'x+1/4,-y,z+1/4'
'x,y+1/2,z+1/2'
'-x,-y+1/2,-z+1/2'
'-x+1/4,-y+3/4,z+1/2'
'x+1/4,y+3/4,-z+1/2'
'x,-y+3/4,-z+3/4'
'-x,y+3/4,z+3/4'
'-x+1/4,y+1/2,-z+3/4'
'x+1/4,-y+1/2,z+3/4'
'x+1/2,y,z+1/2'
'-x+1/2,-y,-z+1/2'
'-x+3/4,-y+1/4,z+1/2'
'x+3/4,y+1/4,-z+1/2'
'x+1/2,-y+1/4,-z+3/4'
'-x+1/2,y+1/4,z+3/4'
'-x+3/4,y,-z+3/4'
'x+3/4,-y,z+3/4'
'x+1/2,y+1/2,z'
'-x+1/2,-y+1/2,-z'
'-x+3/4,-y+3/4,z'
'x+3/4,y+3/4,-z'
'x+1/2,-y+3/4,-z+1/4'
'-x+1/2,y+3/4,z+1/4'
'-x+3/4,y+1/2,-z+1/4'
'x+3/4,-y+1/2,z+1/4'
loop_
_atom_site_label
_atom_site_type_symbol
_atom_site_fract_x
_atom_site_fract_y
_atom_site_fract_z
H1 H 0.125 0.125 0.251
Pb1 Pb 0.107 0.375 0.875

No. 15
# PBE BaOsF2, relaxed
# E above lowest polymorph: 102 meV per atom
# Formation energy from raw total energies: -0.787 eV/atom
data_BaOsF2
_symmetry_space_group_name_H-M 'R -3 m'
_symmetry_Int_Tables_number 166
_symmetry_space_group_name_Hall '-R 3 2"'
_cell_length_a 4.2715
_cell_length_b 4.2715
_cell_length_c 13.7924
_cell_angle_alpha 90.00
_cell_angle_beta 90.00
_cell_angle_gamma 120.00
loop_
_atom_site_label
_atom_site_type_symbol
_atom_site_fract_x
_atom_site_fract_y
_atom_site_fract_z
Ba1 Ba 0.0000 0.0000 0.0000
Os1 Os 0.0000 0.0000 0.5000
F1 F 0.0000 0.0000 0.2138

No. 16
# PBE AgSe2Cl, relaxed
# E above lowest polymorph: 0 meV per atom
# Formation energy from raw total energies: -0.189 eV/atom
data_AgSe2Cl
_symmetry_space_group_name_H-M 'C 2 2 21'
_symmetry_Int_Tables_number 20
_symmetry_space_group_name_Hall 'C 2c 2'
_cell_length_a 8.850
_cell_length_b 11.380
_cell_length_c 5.267
_cell_angle_alpha 90.00
_cell_angle_beta 90.00
_cell_angle_gamma 90.00
loop_
_atom_site_label
_atom_site_type_symbol
_atom_site_fract_x
_atom_site_fract_y
_atom_site_fract_z
Ag1 Ag 0.181 0.000 0.000
Se1 Se 0.119 0.411 0.825
Cl1 Cl 0.000 0.132 0.250

No. 17
# PBE Nb3Sn, relaxed
# Formation energy from the elements: -189 meV/atom
data_Nb3Sn
_symmetry_space_group_name_H-M 'P m -3 n'
_symmetry_Int_Tables_number 223
_symmetry_space_group_name_Hall '-P 4n 2 3'
_cell_length_a 5.328
_cell_length_b 5.328
_cell_length_c 5.328
_cell_angle_alpha 90.00
_cell_angle_beta 90.00
_cell_angle_gamma 90.00
loop_
_atom_site_label
_atom_site_type_symbol
_atom_site_fract_x
_atom_site_fract_y
_atom_site_fract_z
Nb1 Nb 0.000 0.250 0.500
Sn1 Sn 0.000 0.000 0.000

No. 18
# PBE HgPb2Au, relaxed
# E above lowest polymorph: 16 meV per atom
# Formation energy from the elements: -23 meV/atom
data_HgPb2Au
_symmetry_space_group_name_H-M 'P 1 2/m 1'
_symmetry_Int_Tables_number 10
_symmetry_space_group_name_Hall '-P 2y'
_cell_length_a 3.406
_cell_length_b 3.671
_cell_length_c 8.576
_cell_angle_alpha 90.00
_cell_angle_beta 90.51
_cell_angle_gamma 90.00
loop_
_atom_site_label
_atom_site_type_symbol
_atom_site_fract_x
_atom_site_fract_y
_atom_site_fract_z
Hg1 Hg 0.000 0.000 0.000
Pb1 Pb 0.497 0.500 0.285
Au1 Au 0.000 0.000 0.500

No. 19
# PBE HgRuPb2, relaxed
# Formation energy from the elements: 548 meV/atom
data_HgRuPb2
_symmetry_space_group_name_H-M 'I 4/m m m'
_symmetry_Int_Tables_number 139
_symmetry_space_group_name_Hall '-I 4 2'
_cell_length_a 4.679
_cell_length_b 4.679
_cell_length_c 8.458
_cell_angle_alpha 90.00
_cell_angle_beta 90.00
_cell_angle_gamma 90.00
loop_
_atom_site_label
_atom_site_type_symbol
_atom_site_fract_x
_atom_site_fract_y
_atom_site_fract_z
Hg1 Hg 0.000 0.000 0.000
Ru1 Ru 0.000 0.000 0.500
Pb1 Pb 0.000 0.500 0.250

No. 20
# PBE VCd2Sn, relaxed
# Formation energy from the elements: 589 meV/atom
data_VCd2Sn
_symmetry_space_group_name_H-M 'R -3 m'
_symmetry_Int_Tables_number 166
_symmetry_space_group_name_Hall '-R 3 2"'
_cell_length_a 3.0479
_cell_length_b 3.0479
_cell_length_c 34.9277
_cell_angle_alpha 90.00
_cell_angle_beta 90.00
_cell_angle_gamma 120.00
loop_
_atom_site_label
_atom_site_type_symbol
_atom_site_fract_x
_atom_site_fract_y
_atom_site_fract_z
V1 V 0.0000 0.0000 0.0000
Cd1 Cd 0.0000 0.0000 0.0815
Sn1 Sn 0.0000 0.0000 0.5000

No. 21
# PBE TlRh4, relaxed
# E above lowest polymorph: 47 meV per atom
# Formation energy from the elements: 156 meV/atom
data_TlRh4
_symmetry_space_group_name_H-M 'I m m m'
_symmetry_Int_Tables_number 71
_symmetry_space_group_name_Hall '-I 2 2'
_cell_length_a 2.871
_cell_length_b 3.837
_cell_length_c 14.286
_cell_angle_alpha 90.00
_cell_angle_beta 90.00
_cell_angle_gamma 90.00
loop_
_atom_site_label
_atom_site_type_symbol
_atom_site_fract_x
_atom_site_fract_y
_atom_site_fract_z
Tl1 Tl 0.000 0.000 0.000
Rh1 Rh 0.000 0.000 0.206
Rh2 Rh 0.000 0.000 0.392

No. 22
# PBE BaSr4Zr, relaxed
# Formation energy from the elements: 582 meV/atom
data_BaSr4Zr
_symmetry_space_group_name_H-M 'F -4 3 m'
_symmetry_Int_Tables_number 216
_symmetry_space_group_name_Hall 'F -4 2 3'
_cell_length_a 10.572
_cell_length_b 10.572
_cell_length_c 10.572
_cell_angle_alpha 90.00
_cell_angle_beta 90.00
_cell_angle_gamma 90.00
loop_
_atom_site_label
_atom_site_type_symbol
_atom_site_fract_x
_atom_site_fract_y
_atom_site_fract_z
Ba1 Ba 0.000 0.000 0.000
Sr1 Sr 0.124 0.124 0.624
Zr1 Zr 0.250 0.250 0.250

No. 23
# PBE Hf7SnSb3, relaxed
# Formation energy from raw total energies: -0.095 eV/atom
data_Hf7SnSb3
_symmetry_space_group_name_H-M 'I m m m'
_symmetry_Int_Tables_number 71
_symmetry_space_group_name_Hall '-I 2 2'
_cell_length_a 5.382
_cell_length_b 9.085
_cell_length_c 10.548
_cell_angle_alpha 90.00
_cell_angle_beta 90.00
_cell_angle_gamma 90.00
loop_
_atom_site_label
_atom_site_type_symbol
_atom_site_fract_x
_atom_site_fract_y
_atom_site_fract_z
Hf1 Hf 0.000 0.000 0.000
Hf2 Hf 0.000 0.179 0.500
Hf3 Hf 0.000 0.329 0.234
Sn1 Sn 0.000 0.500 0.500
Sb1 Sb 0.000 0.000 0.271
Sb2 Sb 0.000 0.500 0.000

No. 24
# PBE NpUAgPt, relaxed
# Formation energy from the elements: -203 meV/atom
data_NpUAgPt
_symmetry_space_group_name_H-M 'F -4 3 m'
_symmetry_Int_Tables_number 216
_symmetry_space_group_name_Hall 'F -4 2 3'
_cell_length_a 6.794
_cell_length_b 6.794
_cell_length_c 6.794
_cell_angle_alpha 90.00
_cell_angle_beta 90.00
_cell_angle_gamma 90.00
loop_
_atom_site_label
_atom_site_type_symbol
_atom_site_fract_x
_atom_site_fract_y
_atom_site_fract_z
Np1 Np 0.000 0.000 0.000
U1 U 0.250 0.250 0.250
Ag1 Ag 0.250 0.250 0.750
Pt1 Pt 0.000 0.000 0.500